(1)
VASP calculation (PBE) on a relaxed structure of CeHo2ErSe6.

Cell and atoms, written as CIF:
```
data_CeHo2ErSe6
_cell_length_a 7.2554
_cell_length_b 7.2554
_cell_length_c 19.4606
_cell_angle_alpha 90.00
_cell_angle_beta 90.00
_cell_angle_gamma 120.00
_symmetry_space_group_name_H-M 'R 3'
_symmetry_Int_Tables_number 146
_symmetry_space_group_name_Hall 'R 3'
loop_
_atom_site_label
_atom_site_fract_x
_atom_site_fract_y
_atom_site_fract_z
Ce1 0.0000 0.0000 0.0000
Ho1 0.0000 0.0000 0.2977
Ho2 0.0000 0.0000 0.8014
Er1 0.0000 0.0000 0.4946
Se1 0.0013 0.3094 0.8957
Se2 0.0209 0.7135 0.3965
```

Calculated values
raw total energy: -5.872 eV per atom

=====

(2)
VASP calculation (PBE) on a relaxed structure of POsPdS2.

Cell and atoms, written as CIF:
```
data_POsPdS2
_cell_length_a 4.6647
_cell_length_b 4.6647
_cell_length_c 4.5146
_cell_angle_alpha 90.00
_cell_angle_beta 90.00
_cell_angle_gamma 90.00
_symmetry_space_group_name_H-M 'P 4/m m m'
_symmetry_Int_Tables_number 123
_symmetry_space_group_name_Hall '-P 4 2'
loop_
_atom_site_label
_atom_site_fract_x
_atom_site_fract_y
_atom_site_fract_z
P1 0.0000 0.0000 0.0000
Os1 0.0000 0.0000 0.5000
Pd1 0.5000 0.5000 0.0000
S1 0.0000 0.5000 0.5000
```

Calculated values
polymorph energy (0 for the lowest one): 0.0 meV/atom

=====

(3)
VASP calculation (PBE) on a relaxed structure of MnAl2Au.

Cell and atoms, written as CIF:
```
data_MnAl2Au
_cell_length_a 3.9030
_cell_length_b 3.9030
_cell_length_c 7.7750
_cell_angle_alpha 90.00
_cell_angle_beta 90.00
_cell_angle_gamma 90.00
_symmetry_space_group_name_H-M 'I 4/m m m'
_symmetry_Int_Tables_number 139
_symmetry_space_group_name_Hall '-I 4 2'
loop_
_atom_site_label
_atom_site_fract_x
_atom_site_fract_y
_atom_site_fract_z
Mn1 0.0000 0.0000 0.0000
Al1 0.0000 0.5000 0.2500
Au1 0.0000 0.0000 0.5000
```

Calculated values
formation energy from the elements: -0.144 eV/atom

=====

(4)
VASP calculation (PBE) on a relaxed structure of W2C.

Cell and atoms, written as CIF:
```
data_W2C
_cell_length_a 2.9759
_cell_length_b 2.9759
_cell_length_c 14.7963
_cell_angle_alpha 90.00
_cell_angle_beta 90.00
_cell_angle_gamma 120.00
_symmetry_space_group_name_H-M 'R -3 m'
_symmetry_Int_Tables_number 166
_symmetry_space_group_name_Hall '-R 3 2"'
loop_
_atom_site_label
_atom_site_fract_x
_atom_site_fract_y
_atom_site_fract_z
W1 0.0000 0.0000 0.2473
C1 0.0000 0.0000 0.0000
```

Calculated values
formation energy from the elements: 0.031 eV/atom

=====

(5)
VASP calculation (PBE) on a relaxed structure of Ag3PtF8.

Cell and atoms, written as CIF:
```
data_Ag3PtF8
_cell_length_a 5.6768
_cell_length_b 11.1076
_cell_length_c 7.0556
_cell_angle_alpha 90.00
_cell_angle_beta 90.00
_cell_angle_gamma 90.00
_symmetry_space_group_name_H-M 'C 2 2 2'
_symmetry_Int_Tables_number 21
loop_
_symmetry_equiv_pos_as_xyz
'x,y,z'
'-x,-y,z'
'x,-y,-z'
'-x,y,-z'
'x+1/2,y+1/2,z'
'-x+1/2,-y+1/2,z'
'x+1/2,-y+1/2,-z'
'-x+1/2,y+1/2,-z'
loop_
_atom_site_label
_atom_site_fract_x
_atom_site_fract_y
_atom_site_fract_z
Ag1 0.0000 0.0000 0.0000
Ag2 0.2500 0.2500 0.7612
Pt1 0.0000 0.0000 0.5000
F1 0.0000 0.1788 0.5000
F2 0.0000 0.1940 0.0000
F3 0.2356 0.0051 0.7050
```

Calculated values
raw total energy: -3.677 eV per atom

=====

(6)
VASP calculation (PBE) on a relaxed structure of Mo4WBr.

Cell and atoms, written as CIF:
```
data_Mo4WBr
_cell_length_a 7.4519
_cell_length_b 7.4519
_cell_length_c 7.4519
_cell_angle_alpha 90.00
_cell_angle_beta 90.00
_cell_angle_gamma 90.00
_symmetry_space_group_name_H-M 'F -4 3 m'
_symmetry_Int_Tables_number 216
_symmetry_space_group_name_Hall 'F -4 2 3'
loop_
_atom_site_label
_atom_site_fract_x
_atom_site_fract_y
_atom_site_fract_z
Mo1 0.1249 0.1249 0.1249
W1 0.0000 0.0000 0.5000
Br1 0.2500 0.2500 0.7500
```

Calculated values
raw total energy: -8.730 eV per atom

=====

(7)
VASP calculation (PBE) on a relaxed structure of Mn9Nb2Tc.

Cell and atoms, written as CIF:
```
data_Mn9Nb2Tc
_cell_length_a 4.7351
_cell_length_b 4.7351
_cell_length_c 23.3117
_cell_angle_alpha 90.00
_cell_angle_beta 90.00
_cell_angle_gamma 120.00
_symmetry_space_group_name_H-M 'R -3 m'
_symmetry_Int_Tables_number 166
_symmetry_space_group_name_Hall '-R 3 2"'
loop_
_atom_site_label
_atom_site_fract_x
_atom_site_fract_y
_atom_site_fract_z
Mn1 0.0000 0.0000 0.0000
Mn2 0.0000 0.0000 0.1636
Mn3 0.0107 0.5053 0.4176
Nb1 0.0000 0.0000 0.3601
Tc1 0.0000 0.0000 0.5000
```

Calculated values
formation energy from the elements: 0.029 eV/atom

=====

(8)
VASP calculation (PBE) on a relaxed structure of MgGaMo2.

Cell and atoms, written as CIF:
```
data_MgGaMo2
_cell_length_a 7.2778
_cell_length_b 7.2778
_cell_length_c 5.2522
_cell_angle_alpha 90.00
_cell_angle_beta 90.00
_cell_angle_gamma 90.00
_symmetry_space_group_name_H-M 'I -4 2 d'
_symmetry_Int_Tables_number 122
_symmetry_space_group_name_Hall 'I -4 2bw'
loop_
_atom_site_label
_atom_site_fract_x
_atom_site_fract_y
_atom_site_fract_z
Mg1 0.0000 0.0000 0.0000
Ga1 0.0000 0.0000 0.5000
Mo1 0.2244 0.7500 0.6250
```

Calculated values
formation energy from the elements: 0.607 eV/atom
polymorph energy (0 for the lowest one): 140.5 meV/atom

=====

(9)
VASP calculation (PBE) on a relaxed structure of K3ScSi2O7.

Cell and atoms, written as CIF:
```
data_K3ScSi2O7
_cell_length_a 5.6773
_cell_length_b 5.6773
_cell_length_c 13.8457
_cell_angle_alpha 90.00
_cell_angle_beta 90.00
_cell_angle_gamma 120.00
_symmetry_space_group_name_H-M 'P 63/m m c'
_symmetry_Int_Tables_number 194
_symmetry_space_group_name_Hall '-P 6c 2c'
loop_
_atom_site_label
_atom_site_fract_x
_atom_site_fract_y
_atom_site_fract_z
K1 0.0000 0.0000 0.2500
K2 0.3333 0.6667 0.0919
Sc1 0.0000 0.0000 0.0000
Si1 0.3333 0.6667 0.6292
O1 0.1750 0.3500 0.5923
O2 0.3333 0.6667 0.7500
```

Calculated values
raw total energy: -6.914 eV per atom

=====

(10)
VASP calculation (PBE) on a relaxed structure of Ba6Sr.

Cell and atoms, written as CIF:
```
data_Ba6Sr
_cell_length_a 7.0546
_cell_length_b 7.0546
_cell_length_c 30.1734
_cell_angle_alpha 90.00
_cell_angle_beta 90.00
_cell_angle_gamma 120.00
_symmetry_space_group_name_H-M 'R -3 m'
_symmetry_Int_Tables_number 166
_symmetry_space_group_name_Hall '-R 3 2"'
loop_
_atom_site_label
_atom_site_fract_x
_atom_site_fract_y
_atom_site_fract_z
Ba1 0.0000 0.0000 0.0712
Ba2 0.0000 0.0000 0.2133
Ba3 0.0000 0.0000 0.3575
Sr1 0.0000 0.0000 0.5000
```

Calculated values
formation energy from the elements: 0.001 eV/atom
polymorph energy (0 for the lowest one): 0.0 meV/atom

=====

(11)
VASP calculation (PBE) on a relaxed structure of Mn3Pt3Rh.

Cell and atoms, written as CIF:
```
data_Mn3Pt3Rh
_cell_length_a 7.6094
_cell_length_b 7.6094
_cell_length_c 7.6094
_cell_angle_alpha 90.00
_cell_angle_beta 90.00
_cell_angle_gamma 90.00
_symmetry_space_group_name_H-M 'P 21 3'
_symmetry_Int_Tables_number 198
_symmetry_space_group_name_Hall 'P 2ac 2ab 3'
loop_
_atom_site_label
_atom_site_fract_x
_atom_site_fract_y
_atom_site_fract_z
Mn1 0.0368 0.3026 0.8652
Pt1 0.1267 0.6267 0.8733
Pt2 0.1538 0.8462 0.3462
Pt3 0.1687 0.1687 0.1687
Rh1 0.0428 0.4572 0.5428
```

Calculated values
formation energy from the elements: -0.087 eV/atom

=====

(12)
VASP calculation (PBE) on a relaxed structure of ZrSi2Hg.

Cell and atoms, written as CIF:
```
data_ZrSi2Hg
_cell_length_a 3.2185
_cell_length_b 4.0432
_cell_length_c 5.8432
_cell_angle_alpha 90.00
_cell_angle_beta 90.00
_cell_angle_gamma 90.00
_symmetry_space_group_name_H-M 'P m m m'
_symmetry_Int_Tables_number 47
loop_
_symmetry_equiv_pos_as_xyz
'x,y,z'
'-x,-y,-z'
'-x,-y,z'
'x,y,-z'
'x,-y,-z'
'-x,y,z'
'-x,y,-z'
'x,-y,z'
loop_
_atom_site_label
_atom_site_fract_x
_atom_site_fract_y
_atom_site_fract_z
Zr1 0.0000 0.0000 0.0000
Si1 0.5000 0.5000 0.2033
Hg1 0.5000 0.0000 0.5000
```

Calculated values
polymorph energy (0 for the lowest one): 0.0 meV/atom

=====

Magnetization for every record listed, in sequence, given in μB per atom: 0.100, 0.000, 0.461, 0.000, 0.061, 0.000, 0.100, 0.000, 0.000, 0.000, 1.828, 0.000.